Here is a relaxed Mg2Nb2Cl crystal from Alexandria. Energies are from PBE.

POSCAR file:
```
Mg2Nb2Cl
1.0
8.300 0.000 0.000
0.000 8.300 0.000
0.000 0.000 3.389
Nb Mg Cl
4 4 2
Direct
0.405 0.095 0.500
0.905 0.405 0.500
0.595 0.905 0.500
0.095 0.595 0.500
0.303 0.803 0.000
0.803 0.697 0.000
0.197 0.303 0.000
0.697 0.197 0.000
0.000 0.000 0.000
0.500 0.500 0.000
```

Results
The value obtained for the raw formation energy is 0.440 eV/atom.